Sm5Dy3Tm4 | GGA-PBE | relaxed

Computed properties:
Crystal system = monoclinic
V = 32.68 A^3/atom
Total DFT energy (no corrections) = -4.371 eV/atom
Formation energy from the elements = 5.455 kcal/mol of atoms

Geometry as CIF:
```
data_Sm5Dy3Tm4
_space_group_name_H-M_alt 'C 1 2/m 1'
_space_group_IT_number 12
_cell_length_a 16.191
_cell_length_b 5.863
_cell_length_c 9.261
_cell_angle_alpha 90.00
_cell_angle_beta 116.85
_cell_angle_gamma 90.00
loop_
_space_group_symop_operation_xyz
'x,y,z'
'-x,-y,-z'
'-x,y,-z'
'x,-y,z'
'x+1/2,y+1/2,z'
'-x+1/2,-y+1/2,-z'
'-x+1/2,y+1/2,-z'
'x+1/2,-y+1/2,z'
loop_
_atom_site_label
_atom_site_type_symbol
_atom_site_fract_x
_atom_site_fract_y
_atom_site_fract_z
Sm1 Sm 0.000 0.000 0.000
Sm2 Sm 0.077 0.500 0.701
Sm3 Sm 0.174 0.500 0.386
Dy1 Dy 0.000 0.500 0.000
Dy2 Dy 0.208 0.000 0.228
Tm1 Tm 0.080 0.000 0.439
Tm2 Tm 0.215 0.000 0.878
```



Sm7DyTm4 | GGA-PBE | relaxed

Computed properties:
Crystal system = monoclinic
V = 33.02 A^3/atom
Total DFT energy (no corrections) = -4.402 eV/atom
Offset from the most stable computed form = 223.0 meV per atom
Formation energy from the elements = 5.193 kcal/mol of atoms

Geometry as CIF:
```
data_Sm7DyTm4
_space_group_name_H-M_alt 'C 1 2/m 1'
_space_group_IT_number 12
_cell_length_a 16.004
_cell_length_b 5.928
_cell_length_c 9.344
_cell_angle_alpha 90.00
_cell_angle_beta 116.62
_cell_angle_gamma 90.00
loop_
_space_group_symop_operation_xyz
'x,y,z'
'-x,-y,-z'
'-x,y,-z'
'x,-y,z'
'x+1/2,y+1/2,z'
'-x+1/2,-y+1/2,-z'
'-x+1/2,y+1/2,-z'
'x+1/2,-y+1/2,z'
loop_
_atom_site_label
_atom_site_type_symbol
_atom_site_fract_x
_atom_site_fract_y
_atom_site_fract_z
Sm1 Sm 0.000 0.000 0.000
Sm2 Sm 0.085 0.500 0.448
Sm3 Sm 0.212 0.500 0.239
Sm4 Sm 0.213 0.500 0.884
Dy1 Dy 0.000 0.500 0.000
Tm1 Tm 0.071 0.000 0.699
Tm2 Tm 0.170 0.000 0.383
```



SmDyTm6 | GGA-PBE | relaxed

Computed properties:
Crystal system = monoclinic
V = 31.34 A^3/atom
Total DFT energy (no corrections) = -4.286 eV/atom
Offset from the most stable computed form = 209.6 meV per atom
Formation energy from the elements = 5.367 kcal/mol of atoms

Geometry as CIF:
```
data_SmDyTm6
_space_group_name_H-M_alt 'C 1 2/m 1'
_space_group_IT_number 12
_cell_length_a 6.628
_cell_length_b 11.666
_cell_length_c 6.487
_cell_angle_alpha 90.00
_cell_angle_beta 91.16
_cell_angle_gamma 90.00
loop_
_space_group_symop_operation_xyz
'x,y,z'
'-x,-y,-z'
'-x,y,-z'
'x,-y,z'
'x+1/2,y+1/2,z'
'-x+1/2,-y+1/2,-z'
'-x+1/2,y+1/2,-z'
'x+1/2,-y+1/2,z'
loop_
_atom_site_label
_atom_site_type_symbol
_atom_site_fract_x
_atom_site_fract_y
_atom_site_fract_z
Sm1 Sm 0.000 0.000 0.000
Dy1 Dy 0.000 0.000 0.500
Tm1 Tm 0.038 0.500 0.251
Tm2 Tm 0.173 0.251 0.747
```



Sm2Dy3Tm8 | GGA-PBE | relaxed

Computed properties:
Crystal system = monoclinic
V = 32.62 A^3/atom
Total DFT energy (no corrections) = -4.288 eV/atom
Formation energy from the elements = 5.811 kcal/mol of atoms

Geometry as CIF:
```
data_Sm2Dy3Tm8
_space_group_name_H-M_alt 'P 1 2/m 1'
_space_group_IT_number 10
_cell_length_a 7.537
_cell_length_b 5.493
_cell_length_c 10.912
_cell_angle_alpha 90.00
_cell_angle_beta 110.18
_cell_angle_gamma 90.00
loop_
_space_group_symop_operation_xyz
'x,y,z'
'-x,-y,-z'
'-x,y,-z'
'x,-y,z'
loop_
_atom_site_label
_atom_site_type_symbol
_atom_site_fract_x
_atom_site_fract_y
_atom_site_fract_z
Sm1 Sm 0.241 0.000 0.481
Dy1 Dy 0.000 0.000 0.000
Dy2 Dy 0.286 0.500 0.000
Tm1 Tm 0.130 0.500 0.260
Tm2 Tm 0.178 0.000 0.784
Tm3 Tm 0.337 0.500 0.674
Tm4 Tm 0.395 0.000 0.216
```



Sm3Dy6Tm2 | GGA-PBE | relaxed

Computed properties:
Crystal system = tetragonal
V = 33.76 A^3/atom
Total DFT energy (no corrections) = -4.328 eV/atom
Offset from the most stable computed form = 263.3 meV per atom
Formation energy from the elements = 6.510 kcal/mol of atoms

Geometry as CIF:
```
data_Sm3Dy6Tm2
_space_group_name_H-M_alt 'I 4/m m m'
_space_group_IT_number 139
_space_group_name_Hall '-I 4 2'
_cell_length_a 4.735
_cell_length_b 4.735
_cell_length_c 33.129
_cell_angle_alpha 90.00
_cell_angle_beta 90.00
_cell_angle_gamma 90.00
loop_
_atom_site_label
_atom_site_type_symbol
_atom_site_fract_x
_atom_site_fract_y
_atom_site_fract_z
Sm1 Sm 0.000 0.000 0.000
Sm2 Sm 0.000 0.000 0.201
Dy1 Dy 0.000 0.000 0.305
Dy2 Dy 0.000 0.500 0.120
Tm1 Tm 0.000 0.000 0.454
```



Sm4Dy5Tm | GGA-PBE | relaxed

Computed properties:
Crystal system = tetragonal
V = 33.48 A^3/atom
Total DFT energy (no corrections) = -4.389 eV/atom
Offset from the most stable computed form = 61.2 meV per atom
Formation energy from the elements = 5.689 kcal/mol of atoms

Geometry as CIF:
```
data_Sm4Dy5Tm
_space_group_name_H-M_alt 'I 4 m m'
_space_group_IT_number 107
_space_group_name_Hall 'I 4 -2'
_cell_length_a 10.626
_cell_length_b 10.626
_cell_length_c 5.930
_cell_angle_alpha 90.00
_cell_angle_beta 90.00
_cell_angle_gamma 90.00
loop_
_atom_site_label
_atom_site_type_symbol
_atom_site_fract_x
_atom_site_fract_y
_atom_site_fract_z
Sm1 Sm 0.000 0.323 0.000
Dy1 Dy 0.000 0.000 0.759
Dy2 Dy 0.189 0.189 0.494
Tm1 Tm 0.000 0.000 0.234
```



Sm2Dy12Tm5 | GGA-PBE | relaxed

Computed properties:
Crystal system = monoclinic
V = 32.09 A^3/atom
Total DFT energy (no corrections) = -4.447 eV/atom
Offset from the most stable computed form = 112.1 meV per atom
Formation energy from the elements = 3.058 kcal/mol of atoms

Geometry as CIF:
```
data_Sm2Dy12Tm5
_space_group_name_H-M_alt 'C 1 2/m 1'
_space_group_IT_number 12
_cell_length_a 15.690
_cell_length_b 9.171
_cell_length_c 8.476
_cell_angle_alpha 90.00
_cell_angle_beta 90.88
_cell_angle_gamma 90.00
loop_
_space_group_symop_operation_xyz
'x,y,z'
'-x,-y,-z'
'-x,y,-z'
'x,-y,z'
'x+1/2,y+1/2,z'
'-x+1/2,-y+1/2,-z'
'-x+1/2,y+1/2,-z'
'x+1/2,-y+1/2,z'
loop_
_atom_site_label
_atom_site_type_symbol
_atom_site_fract_x
_atom_site_fract_y
_atom_site_fract_z
Sm1 Sm 0.000 0.181 0.000
Dy1 Dy 0.059 0.000 0.332
Dy2 Dy 0.093 0.500 0.883
Dy3 Dy 0.126 0.192 0.656
Dy4 Dy 0.157 0.319 0.243
Tm1 Tm 0.000 0.500 0.500
Tm2 Tm 0.197 0.000 0.010
Tm3 Tm 0.232 0.500 0.575
```



SmDy5Tm3 | GGA-PBE | relaxed

Computed properties:
Crystal system = monoclinic
V = 31.19 A^3/atom
Total DFT energy (no corrections) = -4.521 eV/atom
Offset from the most stable computed form = 0.0 meV per atom
Formation energy from the elements = 1.166 kcal/mol of atoms

Geometry as CIF:
```
data_SmDy5Tm3
_space_group_name_H-M_alt 'C 1 2/c 1'
_space_group_IT_number 15
_cell_length_a 16.720
_cell_length_b 9.651
_cell_length_c 6.959
_cell_angle_alpha 90.00
_cell_angle_beta 90.04
_cell_angle_gamma 90.00
loop_
_space_group_symop_operation_xyz
'x,y,z'
'-x,-y,-z'
'-x,y,-z+1/2'
'x,-y,z+1/2'
'x+1/2,y+1/2,z'
'-x+1/2,-y+1/2,-z'
'-x+1/2,y+1/2,-z+1/2'
'x+1/2,-y+1/2,z+1/2'
loop_
_atom_site_label
_atom_site_type_symbol
_atom_site_fract_x
_atom_site_fract_y
_atom_site_fract_z
Sm1 Sm 0.000 0.196 0.250
Dy1 Dy 0.000 0.139 0.750
Dy2 Dy 0.153 0.348 0.750
Dy3 Dy 0.180 0.320 0.250
Tm1 Tm 0.000 0.500 0.000
Tm2 Tm 0.168 0.000 0.000
```



Sm8Dy3Tm2 | GGA-PBE | relaxed

Computed properties:
Crystal system = monoclinic
V = 33.97 A^3/atom
Total DFT energy (no corrections) = -4.440 eV/atom
Formation energy from the elements = 4.939 kcal/mol of atoms

Geometry as CIF:
```
data_Sm8Dy3Tm2
_space_group_name_H-M_alt 'C 1 2/m 1'
_space_group_IT_number 12
_cell_length_a 20.121
_cell_length_b 7.708
_cell_length_c 5.695
_cell_angle_alpha 90.00
_cell_angle_beta 90.02
_cell_angle_gamma 90.00
loop_
_space_group_symop_operation_xyz
'x,y,z'
'-x,-y,-z'
'-x,y,-z'
'x,-y,z'
'x+1/2,y+1/2,z'
'-x+1/2,-y+1/2,-z'
'-x+1/2,y+1/2,-z'
'x+1/2,-y+1/2,z'
loop_
_atom_site_label
_atom_site_type_symbol
_atom_site_fract_x
_atom_site_fract_y
_atom_site_fract_z
Sm1 Sm 0.107 0.207 0.000
Sm2 Sm 0.132 0.500 0.500
Sm3 Sm 0.172 0.000 0.501
Dy1 Dy 0.000 0.214 0.500
Dy2 Dy 0.000 0.500 0.000
Tm1 Tm 0.240 0.500 0.999
```



SmDy7Tm4 | GGA-PBE | relaxed

Computed properties:
Crystal system = triclinic
V = 31.14 A^3/atom
Total DFT energy (no corrections) = -4.571 eV/atom
Formation energy from the elements = -0.065 kcal/mol of atoms

Geometry as CIF:
```
data_SmDy7Tm4
_space_group_name_H-M_alt 'P -1'
_space_group_IT_number 2
_cell_length_a 6.163
_cell_length_b 7.118
_cell_length_c 8.763
_cell_angle_alpha 90.03
_cell_angle_beta 103.54
_cell_angle_gamma 90.02
loop_
_space_group_symop_operation_xyz
'x,y,z'
'-x,-y,-z'
loop_
_atom_site_label
_atom_site_type_symbol
_atom_site_fract_x
_atom_site_fract_y
_atom_site_fract_z
Sm1 Sm 0.000 0.000 0.000
Dy1 Dy 0.000 0.500 0.000
Dy2 Dy 0.223 0.000 0.665
Dy3 Dy 0.279 0.748 0.336
Dy4 Dy 0.500 0.252 0.000
Tm1 Tm 0.221 0.500 0.665
Tm2 Tm 0.278 0.252 0.335
```



Sm4DyTm8 | GGA-PBE | relaxed

Computed properties:
Crystal system = cubic
V = 35.37 A^3/atom
Total DFT energy (no corrections) = -4.037 eV/atom
Formation energy from the elements = 12.002 kcal/mol of atoms

Geometry as CIF:
```
data_Sm4DyTm8
_space_group_name_H-M_alt 'P m -3 m'
_space_group_IT_number 221
_space_group_name_Hall '-P 4 2 3'
_cell_length_a 7.718
_cell_length_b 7.718
_cell_length_c 7.718
_cell_angle_alpha 90.00
_cell_angle_beta 90.00
_cell_angle_gamma 90.00
loop_
_atom_site_label
_atom_site_type_symbol
_atom_site_fract_x
_atom_site_fract_y
_atom_site_fract_z
Sm1 Sm 0.000 0.000 0.000
Sm2 Sm 0.000 0.500 0.500
Dy1 Dy 0.500 0.500 0.500
Tm1 Tm 0.240 0.240 0.240
```



Sm5Dy4Tm4 | GGA-PBE | relaxed

Computed properties:
Crystal system = tetragonal
V = 31.82 A^3/atom
Total DFT energy (no corrections) = -4.587 eV/atom
Formation energy from the elements = 0.453 kcal/mol of atoms

Geometry as CIF:
```
data_Sm5Dy4Tm4
_space_group_name_H-M_alt 'I 4/m'
_space_group_IT_number 87
_space_group_name_Hall '-I 4'
_cell_length_a 12.833
_cell_length_b 12.833
_cell_length_c 5.023
_cell_angle_alpha 90.00
_cell_angle_beta 90.00
_cell_angle_gamma 90.00
loop_
_atom_site_label
_atom_site_type_symbol
_atom_site_fract_x
_atom_site_fract_y
_atom_site_fract_z
Sm1 Sm 0.000 0.000 0.000
Sm2 Sm 0.038 0.805 0.500
Dy1 Dy 0.155 0.232 0.000
Tm1 Tm 0.076 0.614 0.000
```